Here is a relaxed AlSi2W crystal from Alexandria via LeMat-Bulk. Energies are from PBE.

a b c (Å): 8.921 2.804 4.696
angles (deg): 90.00 95.28 90.00
Space group C2/m (No. 12)
One atom of each set of equivalent atoms:
Al (0.000, 0.000, 0.000) [2 per cell]
Si (0.241, 0.000, 0.736) [4 per cell]
W (0.000, 0.500, 0.500) [2 per cell]

Results
Raw formation energy, eV/atom: 0.085
Final energy, eV/cell: -54.4
DOS(E_F), states/eV/cell: 3.7